Entry 1:
## CrPb2W (GGA-PBE)

Data for a relaxed CrPb2W crystal.

Results
Energy of formation = 1.86 eV/f.u.

Lattice parameters (Å, degrees): 3.2123 3.2102 9.1519 70.34 90.00 90.00
Closest atoms and distances in Å follow each position.
Element x y z (fractional)
Cr 0.5000 0.8096 0.6928  4 W 2.52-2.53
Pb 0.0000 0.0818 0.9310  4 Cr 3.06, 1 W 3.15, 4 Pb 3.21
Pb 0.5000 0.1754 0.3112  4 W 3.15, 4 Pb 3.21, 1 Cr 3.29
W 0.0000 0.4332 0.5650  4 Cr 2.52-2.53

Entry 2:
## CrPb2W (GGA-PBE)

Data for a relaxed CrPb2W crystal.

Results
Energy of formation = 4.09 eV/f.u.

Lattice parameters (Å, degrees): 5.2843 5.2843 5.2843 136.98 122.69 74.26
Closest atoms and distances in Å follow each position.
Element x y z (fractional)
Cr 0.2500 0.7500 0.5000  4 Pb 2.81
Pb 0.0084 0.0084 0.0000  2 Cr 2.81, 2 W 2.91
Pb 0.4916 0.4916 0.0000  2 Cr 2.81, 2 W 2.91
W 0.7500 0.2500 0.5000  8 Pb 2.91-3.25, 4 Cr 3.19

Entry 3:
## CrPbW4 (GGA-PBE)

Data for a relaxed CrPbW4 crystal.

Results
Energy of formation = 4.77 eV/f.u.

Lattice parameters (Å, degrees): 5.3521 5.3521 5.3521 60.00 60.00 60.00
Closest atoms and distances in Å follow each position.
Element x y z (fractional)
Cr 0.2500 0.2500 0.2500  12 W 3.14, 4 Pb 3.28
Pb 0.0000 0.0000 0.0000  12 W 3.14, 4 Cr 3.28
W 0.6253 0.6253 0.1242  6 W 2.67-2.68
W 0.6253 0.1242 0.6253  6 W 2.67-2.68
W 0.6253 0.6253 0.6253  6 W 2.67-2.68
W 0.1242 0.6253 0.6253  6 W 2.67-2.68

Entry 4:
## CrPbW2 (GGA-PBE)

Data for a relaxed CrPbW2 crystal.

Results
Energy of formation = 3.65 eV/f.u.

Lattice parameters (Å, degrees): 5.0741 5.4725 2.9126 77.82 83.17 115.59
Closest atoms and distances in Å follow each position.
Element x y z (fractional)
Cr 0.0000 0.5000 0.5000  4 Pb 2.77-3.07, 4 W 2.82, 2 Cr 2.91
Pb 0.5000 0.5000 0.0000  4 Cr 2.77-3.07, 4 W 2.82, 2 Pb 2.91
W 0.0000 0.0000 0.0000  6 W 2.77-3.07, 2 Cr 2.82, 2 Pb 2.82
W 0.5000 0.0000 0.5000  6 W 2.77-3.07, 2 Pb 2.82, 2 Cr 2.82

Entry 5:
## CrPb2W (GGA-PBE)

Data for a relaxed CrPb2W crystal.

Results
Energy of formation = 4.14 eV/f.u.

Lattice parameters (Å, degrees): 3.1757 3.1757 9.0267 90.00 90.00 111.65
Closest atoms and distances in Å follow each position.
Element x y z (fractional)
Cr 0.5000 0.5000 0.7500  4 Pb 2.86, 4 Cr 3.18
Pb 0.0000 0.0000 0.9972  2 Cr 2.86, 2 W 2.90, 4 Pb 3.18
Pb 0.0000 0.0000 0.5028  2 Cr 2.86, 2 W 2.90, 4 Pb 3.18
W 0.5000 0.5000 0.2500  4 Pb 2.90, 4 W 3.18

Entry 6:
## CrPbW2 (GGA-PBE)

Data for a relaxed CrPbW2 crystal.

Results
Energy of formation = 3.12 eV/f.u.

Lattice parameters (Å, degrees): 3.0610 3.6122 6.5626 90.00 90.00 90.00
Closest atoms and distances in Å follow each position.
Element x y z (fractional)
Cr 0.5000 0.5000 0.2500  8 W 2.66
Pb 0.5000 0.5000 0.7500  2 Pb 3.06, 8 W 3.14, 2 Cr 3.28
W 0.0000 0.0000 0.0652  1 W 2.42, 4 Cr 2.66
W 0.0000 0.0000 0.4348  1 W 2.42, 4 Cr 2.66

Entry 7:
## Cr4PbW (GGA-PBE)

Data for a relaxed Cr4PbW crystal.

Results
Energy of formation = 2.44 eV/f.u.

Lattice parameters (Å, degrees): 4.9261 4.9261 4.9261 60.00 60.00 60.00
Closest atoms and distances in Å follow each position.
Element x y z (fractional)
Cr 0.8760 0.3747 0.3747  6 Cr 2.46-2.47
Cr 0.3747 0.3747 0.8760  6 Cr 2.46-2.47
Cr 0.3747 0.8760 0.3747  6 Cr 2.46-2.47
Cr 0.3747 0.3747 0.3747  6 Cr 2.46-2.47
Pb 0.7500 0.7500 0.7500  12 Cr 2.89, 4 W 3.02
W 0.0000 0.0000 0.0000  12 Cr 2.89, 4 Pb 3.02

Entry 8:
## CrPb2W (GGA-PBE)

Data for a relaxed CrPb2W crystal.

Results
Energy of formation = 4.53 eV/f.u.

Lattice parameters (Å, degrees): 4.9424 4.9424 4.9424 60.00 60.00 60.00
Closest atoms and distances in Å follow each position.
Element x y z (fractional)
Cr 0.5000 0.5000 0.5000  4 Pb 3.03, 4 W 3.03
Pb 0.0000 0.0000 0.0000  4 W 3.03, 4 Pb 3.03
Pb 0.2500 0.2500 0.2500  4 Pb 3.03, 4 Cr 3.03
W 0.7500 0.7500 0.7500  4 Cr 3.03, 4 Pb 3.03

Looking at D(E_F) for the records above, in order, we have 2.7; 2.9; 4.6; 3.4; 3.8; 3.7; 5.8; 2.6 states/eV per cell.